(1)
Computed, not measured: a crystal of Li4CuP2O8 relaxed with PBEsol at the SCAN level of DFT.

Output
Total magnetic moment (Bohr magnetons per cell): 1.0
Space-group type: P-1, No. 2
DOS(E_F) (states/eV/atom): 0.0000
Formation energy without anion corrections (kcal/mol of atoms): -53.969
Energy above the most stable polymorph in this dataset (eV/atom): 0.018
VASP energy (eV per atom): -8.701

Geometry as POSCAR:
```
Li4CuP2O8
1.0
4.612 0.157 -0.084
-1.121 5.535 0.088
-0.510 -0.794 5.781
Li Cu P O
4 1 2 8
direct
0.179 0.274 0.591 Li
0.218 0.516 0.168 Li
0.782 0.484 0.832 Li
0.821 0.726 0.409 Li
0.000 0.000 0.000 Cu
0.370 0.779 0.713 P
0.630 0.221 0.287 P
0.236 0.582 0.856 O
0.258 0.701 0.457 O
0.284 0.197 0.256 O
0.285 0.029 0.790 O
0.715 0.971 0.210 O
0.716 0.803 0.744 O
0.742 0.299 0.543 O
0.764 0.418 0.144 O
```



(2)
Computed, not measured: a crystal of CoSiTcPb2 relaxed with PBEsol at the SCAN level of DFT.

Output
Total magnetic moment (Bohr magnetons per cell): 2.1
Space-group type: P4/mmm, No. 123
DOS(E_F) (states/eV/atom): 0.1245
Formation energy without anion corrections (kcal/mol of atoms): 18.153
VASP energy (eV per atom): -42.001

Geometry as POSCAR:
```
CoSiTcPb2
1.0
4.545 0.000 0.000
0.000 5.233 0.000
0.000 0.000 5.233
Pb Si Co Tc
2 1 1 1
direct
0.000 0.000 0.500 Pb
0.000 0.500 0.000 Pb
0.500 0.000 0.000 Si
0.500 0.500 0.500 Co
0.000 0.000 0.000 Tc
```



(3)
Computed, not measured: a crystal of K2TcMo relaxed with PBEsol at the SCAN level of DFT.

Output
Total magnetic moment (Bohr magnetons per cell): 8.1
Space-group type: Fm-3m, No. 225
DOS(E_F) (states/eV/atom): 0.6989
Energy above the most stable polymorph in this dataset (eV/atom): 1.311
VASP energy (eV per atom): -19.450

Geometry as POSCAR:
```
K2TcMo
1.0
-0.052 3.718 3.877
-4.420 2.933 0.849
-2.932 -0.782 4.432
K Mo Tc
2 1 1
direct
0.250 0.250 0.250 K
0.750 0.750 0.750 K
0.000 0.000 0.000 Mo
0.500 0.500 0.500 Tc
```



(4)
Computed, not measured: a crystal of Te3Se relaxed with PBEsol at the SCAN level of DFT.

Output
Total magnetic moment (Bohr magnetons per cell): 0.0
Space-group type: Cmcm, No. 63
DOS(E_F) (states/eV/atom): 0.4658
Formation energy without anion corrections (kcal/mol of atoms): 4.083
VASP energy (eV per atom): -32.781

Geometry as POSCAR:
```
Te3Se
1.0
-1.994 -1.641 3.787
-3.249 -5.944 -4.286
7.373 -1.086 3.412
Se Te
2 6
direct
0.250 0.606 0.213 Se
0.750 0.394 0.787 Se
0.750 0.072 0.144 Te
0.250 0.928 0.856 Te
0.750 0.019 0.633 Te
0.250 0.981 0.367 Te
0.750 0.614 0.633 Te
0.250 0.386 0.367 Te
```



(5)
Computed, not measured: a crystal of MnFeIr relaxed with PBEsol at the SCAN level of DFT.

Output
Total magnetic moment (Bohr magnetons per cell): 0.1
Space-group type: P-6m2, No. 187
DOS(E_F) (states/eV/atom): 0.8952
VASP energy (eV per atom): -35.990

Geometry as POSCAR:
```
MnFeIr
1.0
-1.656 0.998 -1.716
0.954 -2.863 -2.585
-2.988 -0.551 2.562
Ir Fe Mn
1 1 1
direct
0.000 0.333 0.667 Ir
0.500 0.000 0.000 Fe
0.500 0.667 0.333 Mn
```



(6)
Computed, not measured: a crystal of Ta5Sb relaxed with PBEsol at the SCAN level of DFT.

Output
Total magnetic moment (Bohr magnetons per cell): 0.0
Space-group type: P6/mmm, No. 191
DOS(E_F) (states/eV/atom): 1.2117
Formation energy without anion corrections (kcal/mol of atoms): 14.438
Energy above the most stable polymorph in this dataset (eV/atom): 0.697
VASP energy (eV per atom): -61.070

Geometry as POSCAR:
```
Ta5Sb
1.0
-0.992 -3.377 3.385
4.956 -1.966 -0.509
-0.992 3.868 3.569
Sb Ta
1 5
direct
0.000 0.000 0.000 Sb
0.000 0.667 0.333 Ta
0.000 0.333 0.667 Ta
0.500 0.500 0.500 Ta
0.500 0.000 0.500 Ta
0.500 0.500 0.000 Ta
```



(7)
Computed, not measured: a crystal of CsVCl3 relaxed with PBEsol at the SCAN level of DFT.

Output
Total magnetic moment (Bohr magnetons per cell): 6.0
Space-group type: P6_3/mmc, No. 194
DOS(E_F) (states/eV/atom): 0.0098
Formation energy without anion corrections (kcal/mol of atoms): -44.078
VASP energy (eV per atom): -17.758

Geometry as POSCAR:
```
CsVCl3
1.0
5.709 0.000 0.000
0.000 7.181 0.000
0.000 -3.591 6.219
Cs V Cl
2 2 6
direct
0.250 0.667 0.333 Cs
0.750 0.333 0.667 Cs
0.000 0.000 0.000 V
0.500 0.000 0.000 V
0.750 0.314 0.157 Cl
0.250 0.157 0.843 Cl
0.250 0.157 0.314 Cl
0.750 0.843 0.686 Cl
0.250 0.686 0.843 Cl
0.750 0.843 0.157 Cl
```



(8)
Computed, not measured: a crystal of LaP5 relaxed with PBEsol at the SCAN level of DFT.

Output
Total magnetic moment (Bohr magnetons per cell): 0.0
Space-group type: P2_1/m, No. 11
DOS(E_F) (states/eV/atom): 0.0238
VASP energy (eV per atom): -16.509

Geometry as POSCAR:
```
LaP5
1.0
4.629 -0.176 0.000
-1.643 5.385 0.000
0.000 0.000 9.600
P La
10 2
direct
0.874 0.525 0.906 P
0.126 0.475 0.406 P
0.126 0.475 0.094 P
0.874 0.525 0.594 P
0.793 0.883 0.944 P
0.207 0.117 0.444 P
0.207 0.117 0.056 P
0.793 0.883 0.556 P
0.235 0.552 0.750 P
0.765 0.448 0.250 P
0.400 0.091 0.750 La
0.600 0.909 0.250 La
```



(9)
Computed, not measured: a crystal of Na6ZnH4S4O18 relaxed with PBEsol at the SCAN level of DFT.

Output
Total magnetic moment (Bohr magnetons per cell): 0.0
Space-group type: P-1, No. 2
DOS(E_F) (states/eV/atom): 0.0000
VASP energy (eV per atom): -7.965

Geometry as POSCAR:
```
Na6ZnH4S4O18
1.0
-2.550 -4.083 3.703
6.045 1.254 2.783
-6.484 7.272 2.559
Na Zn H S O
6 1 4 4 18
direct
0.436 0.812 0.104 Na
0.564 0.188 0.896 Na
0.949 0.539 0.328 Na
0.051 0.461 0.672 Na
0.388 0.198 0.460 Na
0.612 0.802 0.540 Na
0.000 0.000 0.000 Zn
0.989 0.761 0.137 H
0.011 0.239 0.863 H
0.912 0.611 0.964 H
0.088 0.389 0.036 H
0.873 0.057 0.324 S
0.127 0.943 0.676 S
0.439 0.404 0.200 S
0.561 0.596 0.800 S
0.818 0.070 0.180 O
0.182 0.930 0.820 O
0.014 0.274 0.424 O
0.986 0.726 0.576 O
0.007 0.896 0.311 O
0.993 0.104 0.689 O
0.650 0.985 0.372 O
0.350 0.015 0.628 O
0.628 0.475 0.126 O
0.372 0.525 0.874 O
0.532 0.453 0.351 O
0.468 0.547 0.649 O
0.329 0.161 0.128 O
0.671 0.839 0.872 O
0.260 0.519 0.193 O
0.740 0.481 0.807 O
0.033 0.736 0.039 O
0.967 0.264 0.961 O
```



(10)
Computed, not measured: a crystal of Al2P2Pb relaxed with PBEsol at the SCAN level of DFT.

Output
Total magnetic moment (Bohr magnetons per cell): 0.0
Space-group type: I4/mmm, No. 139
DOS(E_F) (states/eV/atom): 0.3446
VASP energy (eV per atom): -22.402

Geometry as POSCAR:
```
Al2P2Pb
1.0
-0.326 0.142 4.685
4.639 -0.659 0.343
-1.529 4.625 -2.603
Pb P Al
1 2 2
direct
0.000 0.000 0.000 Pb
0.250 0.750 0.500 P
0.750 0.250 0.500 P
0.649 0.649 0.298 Al
0.351 0.351 0.702 Al
```



(11)
Computed, not measured: a crystal of Cs2KFeC6N6 relaxed with PBEsol at the SCAN level of DFT.

Output
Total magnetic moment (Bohr magnetons per cell): 2.0
Space-group type: P2_1/c, No. 14
Formation energy without anion corrections (kcal/mol of atoms): -4.980
VASP energy (eV per atom): -13.868

Geometry as POSCAR:
```
Cs2KFeC6N6
1.0
-7.016 -1.963 2.261
2.930 -6.808 3.180
1.532 5.137 9.586
Cs K Fe C N
4 2 2 12 12
direct
0.024 0.430 0.252 Cs
0.476 0.930 0.248 Cs
0.976 0.570 0.748 Cs
0.524 0.070 0.752 Cs
0.500 0.500 0.000 K
0.000 0.000 0.500 K
0.500 0.500 0.500 Fe
0.000 0.000 0.000 Fe
0.577 0.525 0.338 C
0.923 0.025 0.162 C
0.423 0.475 0.662 C
0.077 0.975 0.838 C
0.200 0.127 0.034 C
0.300 0.627 0.466 C
0.800 0.873 0.966 C
0.700 0.373 0.534 C
0.876 0.193 0.956 C
0.624 0.693 0.544 C
0.124 0.807 0.044 C
0.376 0.307 0.456 C
0.625 0.544 0.237 N
0.875 0.044 0.263 N
0.375 0.456 0.763 N
0.125 0.956 0.737 N
0.326 0.205 0.057 N
0.174 0.705 0.443 N
0.674 0.795 0.943 N
0.826 0.295 0.557 N
0.797 0.312 0.927 N
0.703 0.812 0.573 N
0.203 0.688 0.073 N
0.297 0.188 0.427 N
```



(12)
Computed, not measured: a crystal of Rb2ZrSbCl relaxed with PBEsol at the SCAN level of DFT.

Output
Total magnetic moment (Bohr magnetons per cell): 2.1
Space-group type: P4/mmm, No. 123
DOS(E_F) (states/eV/atom): 1.0178
Formation energy without anion corrections (kcal/mol of atoms): 14.965
VASP energy (eV per atom): -22.834

Geometry as POSCAR:
```
Rb2ZrSbCl
1.0
-1.562 4.604 1.933
-0.559 -2.872 6.391
6.685 1.702 1.349
Sb Rb Zr Cl
1 2 1 1
direct
0.000 0.000 0.000 Sb
0.000 0.000 0.500 Rb
0.000 0.500 0.000 Rb
0.500 0.500 0.500 Zr
0.500 0.000 0.000 Cl
```



(13)
Computed, not measured: a crystal of TaNiW2 relaxed with PBEsol at the SCAN level of DFT.

Output
Total magnetic moment (Bohr magnetons per cell): 0.0
Space-group type: Pmm2, No. 25
DOS(E_F) (states/eV/atom): 0.7291
VASP energy (eV per atom): -55.294

Geometry as POSCAR:
```
TaNiW2
1.0
-0.649 -2.543 -0.516
1.342 -1.054 3.508
-5.246 0.877 2.270
Ni Ta W
1 1 2
direct
0.000 0.000 0.497 Ni
0.500 0.500 0.735 Ta
0.000 0.000 0.009 W
0.500 0.500 0.260 W
```



(14)
Computed, not measured: a crystal of MgZrSi relaxed with PBEsol at the SCAN level of DFT.

Output
Total magnetic moment (Bohr magnetons per cell): 0.0
Space-group type: F-43m, No. 216
DOS(E_F) (states/eV/atom): 0.4125
Formation energy without anion corrections (kcal/mol of atoms): -4.262
VASP energy (eV per atom): -15.414

Geometry as POSCAR:
```
MgZrSi
1.0
4.408 0.000 0.000
2.204 3.817 0.000
2.204 1.272 3.599
Si Mg Zr
1 1 1
direct
0.250 0.250 0.250 Si
0.500 0.500 0.500 Mg
0.000 0.000 0.000 Zr
```



(15)
Computed, not measured: a crystal of FeCu2Te relaxed with PBEsol at the SCAN level of DFT.

Output
Total magnetic moment (Bohr magnetons per cell): 2.1
Space-group type: P4mm, No. 99
DOS(E_F) (states/eV/atom): 0.5624
Formation energy without anion corrections (kcal/mol of atoms): 7.507
VASP energy (eV per atom): -21.119

Geometry as POSCAR:
```
FeCu2Te
1.0
3.230 0.000 0.000
0.000 3.234 0.000
0.000 0.000 5.367
Cu Fe Te
2 1 1
direct
0.000 0.000 0.042 Cu
0.500 0.500 0.233 Cu
0.000 0.000 0.503 Fe
0.500 0.500 0.722 Te
```



(16)
Computed, not measured: a crystal of KIr2Os relaxed with PBEsol at the SCAN level of DFT.

Output
Total magnetic moment (Bohr magnetons per cell): 0.0
Space-group type: P4mm, No. 99
DOS(E_F) (states/eV/atom): 1.1497
Energy above the most stable polymorph in this dataset (eV/atom): 0.000
VASP energy (eV per atom): -54.934

Geometry as POSCAR:
```
KIr2Os
1.0
-0.499 2.639 -0.390
-1.062 -0.561 -2.434
-8.391 -1.011 3.894
Ir K Os
2 1 1
direct
0.000 0.000 0.000 Ir
0.500 0.500 0.202 Ir
0.000 0.000 0.495 K
0.500 0.500 0.803 Os
```



(17)
Computed, not measured: a crystal of YCu2Ir relaxed with PBEsol at the SCAN level of DFT.

Output
Total magnetic moment (Bohr magnetons per cell): 0.0
Space-group type: I4/mmm, No. 139
DOS(E_F) (states/eV/atom): 0.3146
Energy above the most stable polymorph in this dataset (eV/atom): 0.000
VASP energy (eV per atom): -32.653

Geometry as POSCAR:
```
YCu2Ir
1.0
3.931 0.000 0.000
0.000 3.931 0.000
-1.965 -1.965 3.956
Cu Ir Y
2 1 1
direct
0.750 0.250 0.500 Cu
0.250 0.750 0.500 Cu
0.000 0.000 0.000 Ir
0.500 0.500 0.000 Y
```



(18)
Computed, not measured: a crystal of TiCrNiSb2 relaxed with PBEsol at the SCAN level of DFT.

Output
Total magnetic moment (Bohr magnetons per cell): 2.4
Space-group type: P4/mmm, No. 123
DOS(E_F) (states/eV/atom): 0.6018
Formation energy without anion corrections (kcal/mol of atoms): 16.118
VASP energy (eV per atom): -24.323

Geometry as POSCAR:
```
TiCrNiSb2
1.0
4.308 0.000 0.000
0.000 4.852 0.000
0.000 0.000 4.852
Sb Ti Cr Ni
2 1 1 1
direct
0.000 0.000 0.500 Sb
0.000 0.500 0.000 Sb
0.500 0.500 0.500 Ti
0.000 0.000 0.000 Cr
0.500 0.000 0.000 Ni
```



(19)
Computed, not measured: a crystal of TlCr2Pt relaxed with PBEsol at the SCAN level of DFT.

Output
Total magnetic moment (Bohr magnetons per cell): 0.0
Space-group type: C2/m, No. 12
DOS(E_F) (states/eV/atom): 0.7227
VASP energy (eV per atom): -44.418

Geometry as POSCAR:
```
TlCr2Pt
1.0
2.873 0.000 0.000
-1.437 4.555 -0.015
0.000 -1.288 4.913
Cr Pt Tl
2 1 1
direct
0.745 0.489 0.658 Cr
0.255 0.511 0.342 Cr
0.000 0.000 0.500 Pt
0.500 0.000 0.000 Tl
```



(20)
Computed, not measured: a crystal of BaAs3Pt relaxed with PBEsol at the SCAN level of DFT.

Output
Total magnetic moment (Bohr magnetons per cell): 0.0
Space-group type: Pm-3m, No. 221
DOS(E_F) (states/eV/atom): 1.4107
VASP energy (eV per atom): -32.025

Geometry as POSCAR:
```
BaAs3Pt
1.0
-0.838 -2.107 -5.008
5.421 0.008 -0.911
0.356 -5.077 2.077
As Ba Pt
3 1 1
direct
0.000 0.500 0.000 As
0.000 0.000 0.500 As
0.500 0.000 0.000 As
0.000 0.000 0.000 Ba
0.500 0.500 0.500 Pt
```



(21)
Computed, not measured: a crystal of Sc3FeNi relaxed with PBEsol at the SCAN level of DFT.

Output
Total magnetic moment (Bohr magnetons per cell): 1.7
Space-group type: Pm-3m, No. 221
DOS(E_F) (states/eV/atom): 1.2252
VASP energy (eV per atom): -15.135

Geometry as POSCAR:
```
Sc3FeNi
1.0
-4.087 -2.369 -0.089
1.354 -2.188 -3.963
1.946 -3.453 2.571
Sc Ni Fe
3 1 1
direct
0.000 0.500 0.000 Sc
0.000 0.000 0.500 Sc
0.500 0.000 0.000 Sc
0.000 0.000 0.000 Ni
0.500 0.500 0.500 Fe
```



(22)
Computed, not measured: a crystal of LiFePO4 relaxed with PBEsol at the SCAN level of DFT.

Output
Total magnetic moment (Bohr magnetons per cell): 16.0
Space-group type: Pna2_1, No. 33
Formation energy without anion corrections (kcal/mol of atoms): -50.263
Energy above the most stable polymorph in this dataset (eV/atom): 0.068
VASP energy (eV per atom): -10.157

Geometry as POSCAR:
```
LiFePO4
1.0
5.202 0.000 0.000
0.000 7.476 0.000
0.000 0.000 7.991
Li Fe P O
4 4 4 16
direct
0.468 0.436 0.690 Li
0.468 0.936 0.810 Li
0.968 0.064 0.190 Li
0.968 0.564 0.310 Li
0.461 0.676 0.097 Fe
0.461 0.176 0.403 Fe
0.961 0.824 0.597 Fe
0.961 0.324 0.903 Fe
0.983 0.251 0.521 P
0.983 0.751 0.979 P
0.483 0.249 0.021 P
0.483 0.749 0.479 P
0.230 0.367 0.511 O
0.230 0.867 0.989 O
0.730 0.133 0.011 O
0.730 0.633 0.489 O
0.323 0.727 0.642 O
0.323 0.227 0.858 O
0.823 0.773 0.142 O
0.823 0.273 0.358 O
0.092 0.056 0.525 O
0.092 0.556 0.975 O
0.592 0.444 0.025 O
0.592 0.944 0.475 O
0.813 0.296 0.674 O
0.813 0.796 0.826 O
0.313 0.204 0.174 O
0.313 0.704 0.326 O
```



(23)
Computed, not measured: a crystal of CaIn4Pb relaxed with PBEsol at the SCAN level of DFT.

Output
Total magnetic moment (Bohr magnetons per cell): 0.0
Space-group type: F-43m, No. 216
DOS(E_F) (states/eV/atom): 0.5339
VASP energy (eV per atom): -36.679

Geometry as POSCAR:
```
CaIn4Pb
1.0
-0.738 -5.708 -1.998
4.818 -3.211 -1.895
2.041 -4.679 3.325
Ca In Pb
1 4 1
direct
0.000 0.000 0.000 Ca
0.375 0.375 0.375 In
0.375 0.375 0.874 In
0.874 0.375 0.375 In
0.375 0.874 0.375 In
0.750 0.750 0.750 Pb
```